Compound: LiHo6P2Se3
Source: Alexandria via LeMat-Bulk
Functional: PBE-GGA
Structure: optimized geometry

Results
VASP energy (eV/atom): -5.60
Formation energy from raw total energies (meV per atom): -1375
SG: C2/m

Geometry as POSCAR:
```
LiHo6P2Se3
1.0
-0.321 3.997 -0.281
-7.027 -0.273 4.141
6.250 -1.064 6.460
Ho Se Li P
6 3 1 2
direct
0.672 0.572 0.345
0.005 0.262 0.010
0.671 0.102 0.343
0.995 0.738 0.990
0.329 0.898 0.657
0.328 0.428 0.655
0.165 0.833 0.331
0.500 0.500 0.000
0.835 0.167 0.669
0.500 0.000 0.000
0.833 0.666 0.667
0.167 0.334 0.333
```

---

Compound: Sc8Tc2Rh
Source: Alexandria via LeMat-Bulk
Functional: PBE-GGA
Structure: optimized geometry

Results
VASP energy (eV/atom): -7.47
SG: C2/m

Geometry as POSCAR:
```
Sc8Tc2Rh
1.0
4.591 0.000 0.000
0.000 6.488 0.032
-2.295 -2.744 7.540
Rh Tc Sc
1 2 8
direct
0.500 0.000 0.000
0.823 0.313 0.645
0.177 0.687 0.355
0.025 0.785 0.050
0.334 0.047 0.668
0.199 0.298 0.397
0.801 0.702 0.603
0.975 0.215 0.950
0.666 0.953 0.332
0.600 0.449 0.200
0.400 0.551 0.800
```

---

no.,D(E_F) (states/eV/f.u.)
1,5.39
2,10.47